(1)
Entry from Alexandria via LeMat-Bulk: a relaxed AcDyHo2S6 crystal (PBE-GGA).

Computed properties:
**Symmetry**: R3 (146)
**E_form (uncorrected)**: -20.771 eV per formula unit
**Energy**: -6.340 eV per atom

extended XYZ file:
```
10
Lattice="3.531 2.039 6.185 -3.531 2.039 6.185 0.000 -4.077 6.185" Properties=species:S:1:pos:R:3 pbc="T T T"
Ac 0.000 0.000 0.000
Dy 0.000 0.000 9.008
Ho 0.000 0.000 5.229
Ho 0.000 0.000 14.640
S -2.010 -0.291 7.103
S -1.368 -2.092 10.178
S 1.257 -1.595 7.103
S -1.127 2.230 10.178
S 0.753 1.886 7.103
S 2.495 -0.139 10.178
```

(2)
Entry from Alexandria via LeMat-Bulk: a relaxed CeHo2In crystal (PBE-GGA).

Computed properties:
**Formation enthalpy at 0 K**: -0.067 eV per atom
**Symmetry**: Fm-3m (225)
**Energy**: -4.524 eV per atom

extended XYZ file:
```
4
Lattice="0.000 3.803 3.803 3.803 0.000 3.803 3.803 3.803 0.000" Properties=species:S:1:pos:R:3 pbc="T T T"
Ce 0.000 0.000 0.000
Ho 1.901 1.901 1.901
Ho 5.704 5.704 5.704
In 3.803 3.803 3.803
```

(3)
Entry from Alexandria via LeMat-Bulk: a relaxed Rb3CI6 crystal (PBE-GGA).

Computed properties:
**Symmetry**: Fm-3m (225)
**E_form (uncorrected)**: -2.724 eV per formula unit
**Energy**: -2.415 eV per atom

extended XYZ file:
```
10
Lattice="0.000 6.110 6.110 6.110 0.000 6.110 6.110 6.110 0.000" Properties=species:S:1:pos:R:3 pbc="T T T"
Rb 0.000 0.000 0.000
Rb 3.055 3.055 3.055
Rb 9.165 9.165 9.165
C 6.110 6.110 6.110
I 6.110 6.110 3.462
I 6.110 3.462 6.110
I 8.758 6.110 6.110
I 3.462 6.110 6.110
I 6.110 8.758 6.110
I 6.110 6.110 8.758
```

(4)
Entry from Alexandria via LeMat-Bulk: a relaxed MgTl2Os crystal (PBE-GGA).

Computed properties:
**Formation enthalpy at 0 K**: 0.658 eV per atom
**Symmetry**: P2/m (10)
**Energy**: -3.731 eV per atom

extended XYZ file:
```
4
Lattice="3.122 0.000 0.000 0.000 4.943 0.000 -0.062 0.000 5.437" Properties=species:S:1:pos:R:3 pbc="T T T"
Mg 0.000 0.000 0.000
Tl 0.818 2.471 1.389
Tl 2.242 2.471 4.048
Os 1.530 0.000 2.718
```

(5)
Entry from Alexandria via LeMat-Bulk: a relaxed CuSiBr2 crystal (PBE-GGA).

Computed properties:
**Symmetry**: Imm2 (44)
**E_form (uncorrected)**: 0.478 eV per formula unit
**Energy**: -3.097 eV per atom

extended XYZ file:
```
4
Lattice="-1.696 3.941 4.452 1.696 -3.941 4.452 1.696 3.941 -4.452" Properties=species:S:1:pos:R:3 pbc="T T T"
Cu 0.000 0.000 0.000
Si 1.696 0.000 1.605
Br 0.000 0.000 3.608
Br 0.000 3.941 2.727
```

(6)
Entry from Alexandria via LeMat-Bulk: a relaxed LaNp4Pd3S12 crystal (PBE-GGA).

Computed properties:
**Symmetry**: Im-3 (204)
**E_form (uncorrected)**: -20.145 eV per formula unit
**Energy**: -7.097 eV per atom

extended XYZ file:
```
20
Lattice="-4.851 4.851 4.851 4.851 -4.851 4.851 4.851 4.851 -4.851" Properties=species:S:1:pos:R:3 pbc="T T T"
La 0.000 0.000 0.000
Np 2.425 2.425 -2.425
Np 2.425 -2.425 2.425
Np -2.425 2.425 2.425
Np 2.425 2.425 2.425
Pd 4.851 0.000 0.000
Pd 0.000 4.851 0.000
Pd 0.000 0.000 4.851
S 4.851 -1.899 3.363
S 2.952 1.487 0.000
S 6.749 1.487 0.000
S 3.363 4.851 -1.899
S 1.487 0.000 2.952
S 0.000 2.952 1.487
S 4.851 1.899 3.363
S 3.363 4.851 1.899
S 1.487 0.000 6.749
S -1.899 3.363 4.851
S 1.899 3.363 4.851
S 0.000 6.749 1.487
```

(7)
Entry from Alexandria via LeMat-Bulk: a relaxed Li2TaIr crystal (PBE-GGA).

Computed properties:
**Formation enthalpy at 0 K**: 0.285 eV per atom
**Symmetry**: Fm-3m (225)
**Energy**: -5.850 eV per atom

extended XYZ file:
```
4
Lattice="0.000 2.980 2.980 2.980 0.000 2.980 2.980 2.980 0.000" Properties=species:S:1:pos:R:3 pbc="T T T"
Li 1.490 1.490 1.490
Li 4.470 4.470 4.470
Ta 0.000 0.000 0.000
Ir 2.980 2.980 2.980
```

(8)
Entry from Alexandria via LeMat-Bulk: a relaxed Nd2RuCl crystal (PBE-GGA).

Computed properties:
**Symmetry**: P4/mmm (123)
**E_form (uncorrected)**: -3.355 eV per formula unit
**Energy**: -6.003 eV per atom

extended XYZ file:
```
4
Lattice="3.433 0.000 0.000 0.000 3.433 0.000 0.000 0.000 8.123" Properties=species:S:1:pos:R:3 pbc="T T T"
Nd 0.000 0.000 1.761
Nd 0.000 0.000 6.362
Ru 1.717 1.717 0.000
Cl 1.717 1.717 4.062
```

(9)
Entry from Alexandria via LeMat-Bulk: a relaxed HoZrFeCu crystal (PBE-GGA).

Computed properties:
**Formation enthalpy at 0 K**: -0.063 eV per atom
**Symmetry**: F-43m (216)
**Energy**: -6.484 eV per atom

extended XYZ file:
```
4
Lattice="0.000 3.306 3.306 3.306 0.000 3.306 3.306 3.306 0.000" Properties=species:S:1:pos:R:3 pbc="T T T"
Ho 0.000 0.000 0.000
Zr 3.306 3.306 3.306
Fe 1.653 1.653 1.653
Cu 4.958 4.958 4.958
```

(10)
Entry from Alexandria via LeMat-Bulk: a relaxed CoAg2Ru crystal (PBE-GGA).

Computed properties:
**Formation enthalpy at 0 K**: 0.563 eV per atom
**Symmetry**: Cmmm (65)
**Energy**: -4.959 eV per atom

extended XYZ file:
```
4
Lattice="1.389 -2.316 0.000 1.389 2.316 0.000 0.000 0.000 9.614" Properties=species:S:1:pos:R:3 pbc="T T T"
Co 0.000 0.000 0.000
Ag 1.389 0.000 2.318
Ag 1.389 0.000 7.297
Ru 0.000 0.000 4.807
```

(11)
Entry from Alexandria via LeMat-Bulk: a relaxed Rb2TlPt2 crystal (PBE-GGA).

Computed properties:
**Formation enthalpy at 0 K**: -0.010 eV per atom
**Symmetry**: P4/mbm (127)
**Energy**: -3.287 eV per atom

extended XYZ file:
```
10
Lattice="7.166 0.000 0.000 0.000 7.166 0.000 0.000 0.000 5.634" Properties=species:S:1:pos:R:3 pbc="T T T"
Rb 1.248 2.335 0.000
Rb 2.335 5.918 0.000
Rb 4.831 1.248 0.000
Rb 5.918 4.831 0.000
Tl 0.000 0.000 2.817
Tl 3.583 3.583 2.817
Pt 0.920 4.502 2.817
Pt 2.663 0.920 2.817
Pt 4.502 6.246 2.817
Pt 6.246 2.663 2.817
```

(12)
Entry from Alexandria via LeMat-Bulk: a relaxed ReSiPt2 crystal (PBE-GGA).

Computed properties:
**Symmetry**: Amm2 (38)
**E_form (uncorrected)**: -0.842 eV per formula unit
**Energy**: -7.699 eV per atom

extended XYZ file:
```
4
Lattice="3.917 0.000 0.000 0.000 1.403 5.385 0.000 -1.403 5.385" Properties=species:S:1:pos:R:3 pbc="T T T"
Re 0.000 0.000 0.000
Si 1.958 0.000 6.397
Pt 0.000 0.000 7.859
Pt 1.958 0.000 3.950
```